Entry i
# Nd3YBi2

A geometry-optimized Nd3YBi2 structure (PBE, the Alexandria database).

a = 7.2237 Å, b = 8.0929 Å, c = 9.2416 Å
α = 115.97°, β = 113.01°, γ = 90.00°
Last column: nearest neighbours and their distance in Å.
Element x y z (fractional)
Nd 0.5000 0.2500 0.0000  4 Bi 3.23
Nd 0.5000 0.7500 0.0000  4 Bi 3.23
Nd 0.7960 0.0460 0.5919  4 Bi 3.24-3.26
Nd 0.2040 0.4540 0.4081  4 Bi 3.24-3.26
Nd 0.2040 0.9540 0.4081  4 Bi 3.24-3.26
Nd 0.7960 0.5460 0.5919  4 Bi 3.24-3.26
Y 0.0000 0.5000 0.0000  2 Bi 3.23
Y 0.0000 0.0000 0.0000  2 Bi 3.23
Bi 0.5242 0.3537 0.7074  6 Nd 3.23-3.26, 1 Y 3.23
Bi 0.8168 0.1463 0.2926  6 Nd 3.23-3.26, 1 Y 3.23
Bi 0.1832 0.8537 0.7074  6 Nd 3.23-3.26, 1 Y 3.23
Bi 0.4758 0.6463 0.2926  6 Nd 3.23-3.26, 1 Y 3.23

Computed properties:
- SG: Ibam, No. 72

Entry ii
# Nd3YBi2

A geometry-optimized Nd3YBi2 structure (PBE, the Alexandria database).

a = 4.6564 Å, b = 4.6564 Å, c = 8.9413 Å
α = 90.00°, β = 90.00°, γ = 90.00°
Last column: nearest neighbours and their distance in Å.
Element x y z (fractional)
Nd 0.5000 0.0000 0.3513  5 Bi 3.31-3.36
Nd 0.0000 0.5000 0.6487  5 Bi 3.31-3.36
Nd 0.0000 0.0000 0.0000  4 Y 3.29, 4 Bi 3.41
Y 0.5000 0.5000 0.0000  4 Nd 3.29, 4 Bi 3.41
Bi 0.5000 0.0000 0.7219  7 Nd 3.31-3.41, 2 Y 3.41
Bi 0.0000 0.5000 0.2781  7 Nd 3.31-3.41, 2 Y 3.41

Computed properties:
- SG: P-4m2, No. 115

Energetically preferred structure: entry ii | next structure: +236 meV/atom

Entry i
# NdYBi2

A geometry-optimized NdYBi2 structure (PBE, the Alexandria database).

a = 4.5163 Å, b = 4.5163 Å, c = 8.1477 Å
α = 73.91°, β = 73.91°, γ = 60.00°
Last column: nearest neighbours and their distance in Å.
Element x y z (fractional)
Nd 0.6688 0.6688 0.9935  6 Bi 3.23-3.29
Y 0.4980 0.4980 0.5061  6 Bi 3.20-3.26
Bi 0.0844 0.0844 0.7469  3 Y 3.20, 3 Nd 3.23
Bi 0.2489 0.2489 0.2534  3 Y 3.26, 3 Nd 3.29

Computed properties:
- SG: R3m, No. 160

Entry ii
# NdYBi2

A geometry-optimized NdYBi2 structure (PBE, the Alexandria database).

a = 4.5523 Å, b = 4.5523 Å, c = 7.8643 Å
α = 89.95°, β = 106.86°, γ = 120.03°
Last column: nearest neighbours and their distance in Å.
Element x y z (fractional)
Nd 0.0000 0.5000 0.5000  6 Bi 3.25
Y 0.0000 0.0000 0.0000  6 Bi 3.18
Bi 0.5054 0.2527 0.7581  3 Y 3.18, 3 Nd 3.25
Bi 0.4946 0.7473 0.2419  3 Y 3.18, 3 Nd 3.25

Computed properties:
- SG: R-3m, No. 166

Energetically preferred structure: entry ii | next structure: +112 meV/atom

Entry i
# NdZrBi2

A geometry-optimized NdZrBi2 structure (PBE, the Alexandria database).

a = 4.4002 Å, b = 4.4002 Å, c = 7.7079 Å
α = 73.42°, β = 73.42°, γ = 60.00°
Last column: nearest neighbours and their distance in Å.
Element x y z (fractional)
Nd 0.5000 0.5000 0.5000  6 Bi 3.22
Zr 0.0000 0.0000 0.0000  6 Bi 3.04
Bi 0.2572 0.2572 0.2284  3 Zr 3.04, 3 Nd 3.22
Bi 0.7428 0.7428 0.7716  3 Zr 3.04, 3 Nd 3.22

Computed properties:
- SG: R-3m, No. 166

Entry ii
# NdZrBi2

A geometry-optimized NdZrBi2 structure (PBE, the Alexandria database).

a = 3.7110 Å, b = 3.7110 Å, c = 8.0625 Å
α = 90.00°, β = 90.00°, γ = 90.00°
Last column: nearest neighbours and their distance in Å.
Element x y z (fractional)
Nd 0.5000 0.5000 0.5000  8 Bi 3.44, 4 Nd 3.71
Bi 0.0000 0.0000 0.7763  4 Zr 3.18, 4 Nd 3.44
Bi 0.0000 0.0000 0.2237  4 Zr 3.18, 4 Nd 3.44
Zr 0.5000 0.5000 0.0000  8 Bi 3.18

Computed properties:
- SG: P4/mmm, No. 123

Energetically preferred structure: entry i | next structure: +129 meV/atom

Entry i
# NiBi3

A geometry-optimized NiBi3 structure (PBE, the Alexandria database).

a = 4.1771 Å, b = 9.0145 Å, c = 11.4304 Å
α = 90.00°, β = 90.00°, γ = 90.00°
Last column: nearest neighbours and their distance in Å.
Element x y z (fractional)
Ni 0.2500 0.0882 0.4809  2 Ni 2.66, 7 Bi 2.75-2.79
Ni 0.7500 0.9118 0.5191  2 Ni 2.66, 7 Bi 2.75-2.79
Ni 0.2500 0.5882 0.0191  2 Ni 2.66, 7 Bi 2.75-2.79
Ni 0.7500 0.4118 0.9809  2 Ni 2.66, 7 Bi 2.75-2.79
Bi 0.7500 0.1990 0.6107  3 Ni 2.75-2.79
Bi 0.2500 0.8010 0.3893  3 Ni 2.75-2.79
Bi 0.7500 0.6990 0.8893  3 Ni 2.75-2.79
Bi 0.2500 0.3010 0.1107  3 Ni 2.75-2.79
Bi 0.7500 0.1198 0.9125  1 Ni 2.75
Bi 0.2500 0.8802 0.0875  1 Ni 2.75
Bi 0.7500 0.6198 0.5875  1 Ni 2.75
Bi 0.2500 0.3802 0.4125  1 Ni 2.75
Bi 0.2500 0.4096 0.8219  3 Ni 2.77
Bi 0.7500 0.5904 0.1781  3 Ni 2.77
Bi 0.2500 0.9096 0.6781  3 Ni 2.77
Bi 0.7500 0.0904 0.3219  3 Ni 2.77

Computed properties:
- SG: Pnma, No. 62

Entry ii
# NiBi3

A geometry-optimized NiBi3 structure (PBE, the Alexandria database).

a = 3.3871 Å, b = 3.3497 Å, c = 9.5181 Å
α = 90.00°, β = 90.00°, γ = 90.00°
Last column: nearest neighbours and their distance in Å.
Element x y z (fractional)
Ni 0.0000 0.0000 0.9825  6 Bi 2.69-2.77
Bi 0.0000 0.5000 0.4579  6 Bi 3.35-3.55
Bi 0.5000 0.5000 0.1301  4 Ni 2.77
Bi 0.5000 0.0000 0.7629  2 Ni 2.69

Computed properties:
- SG: Pmm2, No. 25

Energetically preferred structure: entry i | next structure: +147 meV/atom

Entry i
# NiBi3

A geometry-optimized NiBi3 structure (PBE, the Alexandria database).

a = 3.4402 Å, b = 6.8416 Å, c = 9.6235 Å
α = 108.23°, β = 90.00°, γ = 90.00°
Last column: nearest neighbours and their distance in Å.
Element x y z (fractional)
Ni 0.7500 0.7292 0.6799  7 Bi 2.74-2.82
Ni 0.2500 0.2708 0.3201  7 Bi 2.74-2.82
Bi 0.7500 0.9322 0.2064  2 Ni 2.82
Bi 0.2500 0.0678 0.7936  2 Ni 2.82
Bi 0.7500 0.3463 0.1175  2 Ni 2.77
Bi 0.2500 0.6537 0.8825  2 Ni 2.77
Bi 0.7500 0.3098 0.5486  3 Ni 2.74-2.75
Bi 0.2500 0.6902 0.4514  3 Ni 2.74-2.75

Computed properties:
- SG: P2_1/m, No. 11

Entry ii
# NiBi3

A geometry-optimized NiBi3 structure (PBE, the Alexandria database).

a = 5.4787 Å, b = 6.6983 Å, c = 6.6983 Å
α = 120.00°, β = 90.00°, γ = 90.00°
Last column: nearest neighbours and their distance in Å.
Element x y z (fractional)
Ni 0.7240 0.3333 0.6667  6 Bi 2.65
Ni 0.2240 0.6667 0.3333  6 Bi 2.65
Bi 0.4740 0.3216 0.9999  2 Ni 2.65
Bi 0.9740 0.6784 0.0001  2 Ni 2.65
Bi 0.9740 0.9999 0.6783  2 Ni 2.65
Bi 0.4740 0.6783 0.6784  2 Ni 2.65
Bi 0.4740 0.0001 0.3217  2 Ni 2.65
Bi 0.9740 0.3217 0.3216  2 Ni 2.65

Computed properties:
- SG: P6_322, No. 182

Entry iii
# NiBi3

A geometry-optimized NiBi3 structure (PBE, the Alexandria database).

a = 3.3620 Å, b = 5.2972 Å, c = 6.9434 Å
α = 112.42°, β = 104.01°, γ = 90.00°
Last column: nearest neighbours and their distance in Å.
Element x y z (fractional)
Ni 0.0000 0.0099 0.0000  6 Bi 2.71-2.76
Bi 0.3338 0.7060 0.6676  2 Ni 2.76
Bi 0.5000 0.4124 0.0000  2 Ni 2.71
Bi 0.6662 0.0384 0.3324  2 Ni 2.76

Computed properties:
- SG: Imm2, No. 44

Energetically preferred structure: entry i | next structure: +20 meV/atom